[1]
# LuPuGa

LuPuGa after structural relaxation (GGA-PBE, Alexandria). Values from VASP.

Computed properties:
Energy relative to the lowest polymorph listed for this composition, meV per atom: 61
Uncorrected energy, eV per atom: -7.450
Spin magnetization, Bohr magnetons per cell: 5.90
ΔE_f, eV/f.u.: -0.47

```
&SYSTEM
  ibrav = 0, nat = 3, ntyp = 3
/
ATOMIC_SPECIES
Lu 174.97 Lu.upf
Pu 244.00 Pu.upf
Ga 69.72 Ga.upf
CELL_PARAMETERS angstrom
3.3632 0.0000 0.0000
0.0000 4.9720 0.0000
0.0000 -2.4860 4.3058
ATOMIC_POSITIONS crystal
Lu 0.0709 0.0000 0.0000
Pu 0.6275 0.6667 0.3333
Ga 0.3017 0.3333 0.6667
```


[2]
# BaV2Hg2

BaV2Hg2 after structural relaxation (GGA-PBE, Alexandria). Values from VASP.

Computed properties:
Energy relative to the lowest polymorph listed for this composition, meV per atom: 34
Uncorrected energy, eV per atom: -3.812
Spin magnetization, Bohr magnetons per cell: 0.00
ΔE_f, eV/f.u.: 1.71

```
&SYSTEM
  ibrav = 0, nat = 10, ntyp = 3
/
ATOMIC_SPECIES
V 50.94 V.upf
Ba 137.33 Ba.upf
Hg 200.59 Hg.upf
CELL_PARAMETERS angstrom
-3.6038 -4.2630 6.2255
-5.9472 -2.6409 -5.2511
1.8224 -2.6261 -0.7433
ATOMIC_POSITIONS crystal
V 0.9194 0.5806 0.0000
V 0.0806 0.4194 0.0000
V 0.4194 0.9194 0.0000
Ba 0.0000 0.0000 0.0000
Ba 0.5000 0.5000 0.0000
Hg 0.7986 0.2986 0.5000
Hg 0.7014 0.7986 0.5000
V 0.5806 0.0806 0.0000
Hg 0.2986 0.2014 0.5000
Hg 0.2014 0.7014 0.5000
```


[3]
# TcOs

TcOs after structural relaxation (GGA-PBE, Alexandria). Values from VASP.

Computed properties:
Energy relative to the lowest polymorph listed for this composition, meV per atom: 625
Uncorrected energy, eV per atom: -10.258
Spin magnetization, Bohr magnetons per cell: 0.00
ΔE_f, eV/f.u.: 1.08

```
&SYSTEM
  ibrav = 0, nat = 2, ntyp = 2
/
ATOMIC_SPECIES
Os 190.23 Os.upf
Tc 98.00 Tc.upf
CELL_PARAMETERS angstrom
3.0896 0.0000 0.0000
0.0000 3.0896 0.0000
0.0000 0.0000 3.0896
ATOMIC_POSITIONS crystal
Os 0.0000 0.0000 0.0000
Tc 0.5000 0.5000 0.5000
```


[4]
# CrCd2W

CrCd2W after structural relaxation (GGA-PBE, Alexandria). Values from VASP.

Computed properties:
Energy relative to the lowest polymorph listed for this composition, meV per atom: 292
Uncorrected energy, eV per atom: -5.439
Spin magnetization, Bohr magnetons per cell: 2.29
ΔE_f, eV/f.u.: 2.65

```
&SYSTEM
  ibrav = 0, nat = 4, ntyp = 3
/
ATOMIC_SPECIES
Cd 112.41 Cd.upf
W 183.84 W.upf
Cr 52.00 Cr.upf
CELL_PARAMETERS angstrom
-0.2099 2.2543 -4.2081
1.7180 -1.9197 -1.1141
-3.3900 -3.7518 -1.8408
ATOMIC_POSITIONS crystal
Cd 0.0000 0.4463 0.4946
W 0.5000 0.7500 0.7500
Cr 0.5000 0.2500 0.2500
Cd 0.0000 0.0537 0.0054
```


[5]
# KHfIn

KHfIn after structural relaxation (GGA-PBE, Alexandria). Values from VASP.

Computed properties:
Energy relative to the lowest polymorph listed for this composition, meV per atom: 388
Uncorrected energy, eV per atom: -4.199
Spin magnetization, Bohr magnetons per cell: 0.00
ΔE_f, eV/f.u.: 1.19

```
&SYSTEM
  ibrav = 0, nat = 12, ntyp = 3
/
ATOMIC_SPECIES
In 114.82 In.upf
Hf 178.49 Hf.upf
K 39.10 K.upf
CELL_PARAMETERS angstrom
13.6452 0.0000 0.0000
0.0000 5.7838 0.0000
0.0000 0.0000 5.3835
ATOMIC_POSITIONS crystal
In 0.5000 0.0000 0.5000
In 0.5000 0.5000 0.5000
Hf 0.0000 0.2500 0.5033
In 0.0000 0.5000 0.0000
K 0.7500 0.2500 0.2500
In 0.0000 0.0000 0.0000
K 0.2500 0.7500 0.7500
K 0.2500 0.2500 0.2500
Hf 0.0000 0.7500 0.4967
Hf 0.5000 0.7500 0.0033
K 0.7500 0.7500 0.7500
Hf 0.5000 0.2500 0.9967
```


[6]
# PrGa2IrRh

PrGa2IrRh after structural relaxation (GGA-PBE, Alexandria). Values from VASP.

Computed properties:
Uncorrected energy, eV per atom: -6.164
Spin magnetization, Bohr magnetons per cell: 0.00
ΔE_f, eV/f.u.: -3.77

```
&SYSTEM
  ibrav = 0, nat = 5, ntyp = 4
/
ATOMIC_SPECIES
Ir 192.22 Ir.upf
Ga 69.72 Ga.upf
Pr 140.91 Pr.upf
Rh 102.91 Rh.upf
CELL_PARAMETERS angstrom
-2.9602 -3.0411 0.7192
1.2349 -0.2283 4.1172
-2.5288 5.2236 -1.2020
ATOMIC_POSITIONS crystal
Ir 0.2500 0.7500 0.5000
Ga 0.6276 0.6276 0.2552
Ga 0.3724 0.3724 0.7448
Pr 0.0000 0.0000 0.0000
Rh 0.7500 0.2500 0.5000
```


[7]
# RbCd2Se

RbCd2Se after structural relaxation (GGA-PBE, Alexandria). Values from VASP.

Computed properties:
Raw formation energy, eV per atom: -0.269
Uncorrected energy, eV per atom: -1.840
Spin magnetization, Bohr magnetons per cell: 0.00

```
&SYSTEM
  ibrav = 0, nat = 8, ntyp = 3
/
ATOMIC_SPECIES
Cd 112.41 Cd.upf
Se 78.96 Se.upf
Rb 85.47 Rb.upf
CELL_PARAMETERS angstrom
9.2327 0.0000 0.0000
0.0000 9.2327 0.0000
4.6164 4.6164 3.1858
ATOMIC_POSITIONS crystal
Cd 0.5532 0.1250 0.2500
Se 0.5000 0.5000 0.0000
Rb 0.0000 0.0000 0.0000
Se 0.2500 0.7500 0.5000
Cd 0.8750 0.8032 0.7500
Cd 0.3750 0.4468 0.7500
Rb 0.7500 0.2500 0.5000
Cd 0.1968 0.6250 0.2500
```


[8]
# AcDyGeIr

AcDyGeIr after structural relaxation (GGA-PBE, Alexandria). Values from VASP.

Computed properties:
Energy relative to the lowest polymorph listed for this composition, meV per atom: 106
Uncorrected energy, eV per atom: -6.044
Spin magnetization, Bohr magnetons per cell: 0.00
ΔE_f, eV/f.u.: -1.99

```
&SYSTEM
  ibrav = 0, nat = 4, ntyp = 4
/
ATOMIC_SPECIES
Dy 162.50 Dy.upf
Ac 227.00 Ac.upf
Ir 192.22 Ir.upf
Ge 72.64 Ge.upf
CELL_PARAMETERS angstrom
5.1873 0.0000 0.0000
2.5937 4.4924 0.0000
2.5937 1.4975 4.2354
ATOMIC_POSITIONS crystal
Dy 0.0000 0.0000 0.0000
Ac 0.5000 0.5000 0.5000
Ir 0.7500 0.7500 0.7500
Ge 0.2500 0.2500 0.2500
```


[9]
# SrLi2TeH

SrLi2TeH after structural relaxation (GGA-PBE, Alexandria). Values from VASP.

Computed properties:
Uncorrected energy, eV per atom: -3.024
Spin magnetization, Bohr magnetons per cell: 0.00

```
&SYSTEM
  ibrav = 0, nat = 5, ntyp = 4
/
ATOMIC_SPECIES
Li 6.94 Li.upf
Sr 87.62 Sr.upf
Te 127.60 Te.upf
H 1.01 H.upf
CELL_PARAMETERS angstrom
4.6104 0.0000 0.0000
0.0000 4.6104 0.0000
0.0000 0.0000 4.8581
ATOMIC_POSITIONS crystal
Li 0.0000 0.5000 0.0000
Li 0.5000 0.0000 0.0000
Sr 0.0000 0.0000 0.5000
Te 0.5000 0.5000 0.5000
H 0.0000 0.0000 0.0000
```


[10]
# KCoSi2

KCoSi2 after structural relaxation (GGA-PBE, Alexandria). Values from VASP.

Computed properties:
Energy relative to the lowest polymorph listed for this composition, meV per atom: 841
Raw formation energy, eV per atom: 0.823
Uncorrected energy, eV per atom: -3.939
Spin magnetization, Bohr magnetons per cell: 1.69

```
&SYSTEM
  ibrav = 0, nat = 4, ntyp = 3
/
ATOMIC_SPECIES
K 39.10 K.upf
Si 28.09 Si.upf
Co 58.93 Co.upf
CELL_PARAMETERS angstrom
0.0015 5.3917 1.3160
-4.6987 -2.9438 0.2425
0.5103 -0.6090 2.4943
ATOMIC_POSITIONS crystal
K 0.0000 0.5000 0.5000
Si 0.0000 0.0000 0.0000
Si 0.5000 0.5000 0.0000
Co 0.5000 0.0000 0.5000
```


[11]
# Ba6Sr2NiRh

Ba6Sr2NiRh after structural relaxation (GGA-PBE, Alexandria). Values from VASP.

Computed properties:
Uncorrected energy, eV per atom: -2.851
Spin magnetization, Bohr magnetons per cell: 0.00
ΔE_f, eV/f.u.: -0.48

```
&SYSTEM
  ibrav = 0, nat = 10, ntyp = 4
/
ATOMIC_SPECIES
Ba 137.33 Ba.upf
Rh 102.91 Rh.upf
Ni 58.69 Ni.upf
Sr 87.62 Sr.upf
CELL_PARAMETERS angstrom
-1.4620 6.0916 6.2978
-8.7391 -0.5350 -1.4994
4.6404 -7.3353 1.9031
ATOMIC_POSITIONS crystal
Ba 0.7483 0.2521 0.9999
Ba 0.2515 0.2520 0.5030
Ba 0.2516 0.7488 0.9999
Rh 0.4996 0.5001 0.9992
Ba 0.7482 0.7487 0.4963
Ni 0.9997 0.0002 0.9994
Sr 0.2501 0.7506 0.5002
Ba 0.7482 0.7487 0.9997
Ba 0.2517 0.2522 0.0001
Sr 0.7501 0.2506 0.5002
```


[12]
# Ta4MnCo

Ta4MnCo after structural relaxation (GGA-PBE, Alexandria). Values from VASP.

Computed properties:
Energy relative to the lowest polymorph listed for this composition, meV per atom: 770
Uncorrected energy, eV per atom: -9.969
Spin magnetization, Bohr magnetons per cell: 4.46
ΔE_f, eV/f.u.: 3.87

```
&SYSTEM
  ibrav = 0, nat = 6, ntyp = 3
/
ATOMIC_SPECIES
Ta 180.95 Ta.upf
Mn 54.94 Mn.upf
Co 58.93 Co.upf
CELL_PARAMETERS angstrom
-0.0353 2.3929 4.7888
-4.0768 3.1883 1.3691
-3.4826 -1.5693 3.7508
ATOMIC_POSITIONS crystal
Ta 0.6251 0.1247 0.6251
Ta 0.6251 0.6251 0.1247
Ta 0.6251 0.6251 0.6251
Ta 0.1247 0.6251 0.6251
Mn 0.0000 0.0000 0.0000
Co 0.2500 0.2500 0.2500
```


[13]
# SrMnAs2S8

SrMnAs2S8 after structural relaxation (GGA-PBE, Alexandria). Values from VASP.

Computed properties:
Raw formation energy, eV per atom: -0.399
Uncorrected energy, eV per atom: -4.830
Spin magnetization, Bohr magnetons per cell: 3.00

```
&SYSTEM
  ibrav = 0, nat = 12, ntyp = 4
/
ATOMIC_SPECIES
Mn 54.94 Mn.upf
Sr 87.62 Sr.upf
S 32.06 S.upf
As 74.92 As.upf
CELL_PARAMETERS angstrom
-0.0598 4.6227 3.8446
-3.9892 -0.2251 -4.4933
-5.4602 -4.2806 5.0620
ATOMIC_POSITIONS crystal
Mn 0.0000 0.0000 0.5000
Sr 0.0000 0.0000 0.0000
S 0.7102 0.6896 0.6694
S 0.0206 0.7102 0.3306
S 0.6667 0.3333 0.0235
S 0.3333 0.6667 0.9765
S 0.3104 0.0206 0.6694
S 0.6896 0.9794 0.3306
As 0.3333 0.6667 0.7273
S 0.2898 0.3104 0.3306
As 0.6667 0.3333 0.2727
S 0.9794 0.2898 0.6694
```